Material: PmHoIrPd
Method: DFT, PBE-GGA
State: relaxed

Values from the calculation:
Total DFT energy (no corrections) in eV/cell: -26.7

Cell: 4.9541 4.9541 4.9541 Å, 60.00 60.00 60.00°
With the nearest neighbours (Å) after each atom.
Sites, in units of the cell vectors:
Pd1 0.5000 0.5000 0.5000  4 Pm 3.03, 4 Ho 3.03
Ir1 0.0000 0.0000 0.0000  4 Ho 3.03, 4 Pm 3.03
Ho1 0.7500 0.7500 0.7500  4 Ir 3.03, 4 Pd 3.03
Pm1 0.2500 0.2500 0.2500  4 Ir 3.03, 4 Pd 3.03



Material: PrHoIrPd
Method: DFT, PBE-GGA
State: relaxed

Values from the calculation:
Total DFT energy (no corrections) in eV/cell: -26.5

Cell: 4.9928 4.9928 4.9928 Å, 60.00 60.00 60.00°
With the nearest neighbours (Å) after each atom.
Sites, in units of the cell vectors:
Ho1 0.7500 0.7500 0.7500  4 Pd 3.06, 4 Ir 3.06
Pr1 0.2500 0.2500 0.2500  4 Ir 3.06, 4 Pd 3.06
Ir1 0.0000 0.0000 0.0000  4 Ho 3.06, 4 Pr 3.06
Pd1 0.5000 0.5000 0.5000  4 Ho 3.06, 4 Pr 3.06



| no. | volume (Å³/atom) | ΔH_f (0 K) (meV/atom) | total magnetic moment (μB per cell) |
| --- | --- | --- | --- |
| 1 | 21.49 | -818.4 | 0.0 |
| 2 | 22.00 | -761.2 | 0.0 |